TlZn2In2 | PBE-GGA | optimized geometry

Raw total energy ... -2.00 eV per atom

CIF file:
```
data_TlZn2In2
_chemical_formula_sum 'Tl1 Zn2 In2'
_cell_length_a 6.8590
_cell_length_b 6.8590
_cell_length_c 6.8590
_cell_angle_alpha 141.90
_cell_angle_beta 141.90
_cell_angle_gamma 54.98
_space_group_name_H-M_alt 'P 1'
_space_group_IT_number 1
loop_
_space_group_symop_operation_xyz
'x,y,z'
loop_
_atom_site_label
_atom_site_type_symbol
_atom_site_fract_x
_atom_site_fract_y
_atom_site_fract_z
Tl1 Tl 0.0000 0.0000 0.0000
Zn1 Zn 0.3984 0.3984 0.0000
Zn2 Zn 0.6016 0.6016 0.0000
In1 In 0.2500 0.7500 0.5000
In2 In 0.7500 0.2500 0.5000
```